First-principles (PBE-GGA) data for an optimized crystal structure of Mn3Ag4, as listed in the Alexandria database.

Results
E_form: 2.094 eV/f.u.
space group: I4/mmm, No. 139

Lattice parameters (Å, degrees): 13.851 13.851 13.851 168.34 168.34 16.52
Fractional positions:
1 Mn 0.000 0.000 0.000
2 Mn 0.271 0.271 0.000
3 Mn 0.729 0.729 0.000
4 Ag 0.154 0.154 0.000
5 Ag 0.426 0.426 0.000
6 Ag 0.574 0.574 0.000
7 Ag 0.846 0.846 0.000